Entry 1:
# LuAl4Sn, relaxed, DFT GGA-PBE
# Energy of formation, eV per atom: -0.175
data_LuAl4Sn
_cell_length_a 7.7955
_cell_length_b 7.7955
_cell_length_c 7.7955
_cell_angle_alpha 90.00
_cell_angle_beta 90.00
_cell_angle_gamma 90.00
_symmetry_space_group_name_H-M 'F -4 3 m'
_symmetry_Int_Tables_number 216
_symmetry_space_group_name_Hall 'F -4 2 3'
loop_
_atom_site_label
_atom_site_fract_x
_atom_site_fract_y
_atom_site_fract_z
_atom_site_occupancy
Lu1 0.0000 0.0000 0.0000 1
Al1 0.1253 0.1253 0.6253 1
Sn1 0.2500 0.2500 0.2500 1


Entry 2:
# CsAc2Y, relaxed, DFT GGA-PBE
# Energy of formation, eV per atom: 0.229
data_CsAc2Y
_cell_length_a 3.9468
_cell_length_b 3.9468
_cell_length_c 42.3446
_cell_angle_alpha 90.00
_cell_angle_beta 90.00
_cell_angle_gamma 120.00
_symmetry_space_group_name_H-M 'R -3 m'
_symmetry_Int_Tables_number 166
_symmetry_space_group_name_Hall '-R 3 2"'
loop_
_atom_site_label
_atom_site_fract_x
_atom_site_fract_y
_atom_site_fract_z
_atom_site_occupancy
Cs1 0.0000 0.0000 0.0000 1
Ac1 0.0000 0.0000 0.0970 1
Y1 0.0000 0.0000 0.5000 1


Entry 3:
# YInAu3, relaxed, DFT GGA-PBE
# Excess energy over the best structure of this formula in the dataset, eV/atom: 0.000
# Energy of formation, eV per atom: -0.547
data_YInAu3
_cell_length_a 4.8024
_cell_length_b 6.4513
_cell_length_c 7.0031
_cell_angle_alpha 90.00
_cell_angle_beta 90.00
_cell_angle_gamma 90.00
_symmetry_space_group_name_H-M 'P m m n'
_symmetry_Int_Tables_number 59
loop_
_symmetry_equiv_pos_as_xyz
'x,y,z'
'-x,-y,-z'
'-x+1/2,-y+1/2,z'
'x+1/2,y+1/2,-z'
'x+1/2,-y,-z'
'-x+1/2,y,z'
'-x,y+1/2,-z'
'x,-y+1/2,z'
loop_
_atom_site_label
_atom_site_fract_x
_atom_site_fract_y
_atom_site_fract_z
_atom_site_occupancy
Y1 0.2500 0.2500 0.1859 1
In1 0.2500 0.7500 0.4512 1
Au1 0.2500 0.0357 0.7498 1
Au2 0.2500 0.7500 0.0642 1


Entry 4:
# TlIn8Pb3, relaxed, DFT GGA-PBE
# Energy of formation, eV per atom: 0.104
data_TlIn8Pb3
_cell_length_a 11.7309
_cell_length_b 11.5442
_cell_length_c 5.5645
_cell_angle_alpha 90.00
_cell_angle_beta 90.72
_cell_angle_gamma 90.00
_symmetry_space_group_name_H-M 'C 1 2 1'
_symmetry_Int_Tables_number 5
_symmetry_space_group_name_Hall 'C 2y'
loop_
_atom_site_label
_atom_site_fract_x
_atom_site_fract_y
_atom_site_fract_z
_atom_site_occupancy
Tl1 0.0000 0.0000 0.0000 1
In1 0.0503 0.7479 0.7528 1
In2 0.0532 0.2481 0.2514 1
In3 0.2483 0.2505 0.7534 1
In4 0.2482 0.5707 0.7504 1
Pb1 0.0000 0.4987 0.5000 1
Pb2 0.2486 0.9367 0.7497 1


Which of these has the lowest energy of formation?
YInAu3